# 1
Material: CdTe2RuI
Method: DFT, GGA-PBE
State: optimized geometry

Results
The value obtained for the raw formation energy is 1.09 eV per formula unit. The polymorph energy (0 for the lowest one) comes out at 0.0 meV/atom.

Lattice parameters (Å, degrees): 5.136 5.517 5.136 90.00 90.00 90.00
Positions (direct):
Ru  0.000  0.000  0.000
Cd  0.000  0.500  0.000
Te  0.000  0.000  0.500
Te  0.500  0.000  0.000
I  0.500  0.500  0.500

***

# 2
Material: Cs4CuSn3Br12
Method: DFT, GGA-PBE
State: optimized geometry

Results
The value obtained for the raw formation energy is -22.60 eV per formula unit.

Lattice parameters (Å, degrees): 9.896 9.896 9.896 109.47 109.47 109.47
Positions (direct):
Cu  0.000  0.000  0.000
Sn  0.500  0.000  0.500
Sn  0.500  0.500  0.000
Sn  0.000  0.500  0.500
Br  0.240  0.000  0.240
Br  0.500  0.750  0.250
Br  0.500  0.250  0.750
Br  0.000  0.760  0.760
Br  0.750  0.250  0.500
Br  0.240  0.240  0.000
Br  0.760  0.000  0.760
Br  0.000  0.240  0.240
Br  0.760  0.760  0.000
Br  0.750  0.500  0.250
Br  0.250  0.500  0.750
Br  0.250  0.750  0.500
Cs  0.000  0.000  0.500
Cs  0.000  0.500  0.000
Cs  0.500  0.000  0.000
Cs  0.500  0.500  0.500

***

# 3
Material: In2FeBi
Method: DFT, GGA-PBE
State: optimized geometry

Results
For the calculated formation energy, the calculation gives 0.460 eV/atom.

Lattice parameters (Å, degrees): 4.789 4.789 9.888 75.99 75.99 90.00
Positions (direct):
Fe  0.250  0.750  0.500
Fe  0.500  0.500  0.000
In  0.201  0.625  0.250
In  0.875  0.799  0.750
In  0.375  0.451  0.750
In  0.549  0.125  0.250
Bi  0.000  0.000  0.000
Bi  0.750  0.250  0.500

***

# 4
Material: SrSiB2Br
Method: DFT, GGA-PBE
State: optimized geometry

Results
The value obtained for the raw formation energy is 8.44 eV per formula unit.

Lattice parameters (Å, degrees): 4.486 5.597 4.486 90.00 90.00 90.00
Positions (direct):
Br  0.000  0.000  0.000
B  0.000  0.000  0.500
B  0.500  0.000  0.000
Si  0.500  0.500  0.500
Sr  0.000  0.500  0.000

***

# 5
Material: BeFeSi3
Method: DFT, GGA-PBE
State: optimized geometry

Results
The value obtained for the raw formation energy is 3.29 eV per formula unit. The polymorph energy (0 for the lowest one) comes out at 0.0 meV/atom.

Lattice parameters (Å, degrees): 4.326 4.326 4.326 90.00 90.00 90.00
Positions (direct):
Si  0.000  0.500  0.000
Si  0.000  0.000  0.500
Si  0.500  0.000  0.000
Fe  0.000  0.000  0.000
Be  0.500  0.500  0.500

***

# 6
Material: SrMgRu2O7
Method: DFT, GGA-PBE
State: optimized geometry

Results
The value obtained for the raw formation energy is -16.89 eV per formula unit.

Lattice parameters (Å, degrees): 3.874 3.874 9.585 101.66 101.66 90.00
Positions (direct):
O  0.899  0.399  0.799
O  0.000  0.000  0.000
O  0.601  0.101  0.201
O  0.114  0.614  0.228
O  0.783  0.783  0.567
O  0.217  0.217  0.433
O  0.386  0.886  0.772
Mg  0.250  0.750  0.500
Ru  0.887  0.887  0.773
Ru  0.113  0.113  0.227
Sr  0.500  0.500  0.000

***

# 7
Material: Cu4AgI7
Method: DFT, GGA-PBE
State: optimized geometry

Results
The value obtained for the raw formation energy is -1.72 eV per formula unit.

Lattice parameters (Å, degrees): 8.344 10.532 10.532 118.22 90.00 90.00
Positions (direct):
Cu  0.500  0.692  0.308
Cu  0.250  0.955  0.723
Cu  0.000  0.308  0.692
Cu  0.000  0.692  0.308
Cu  0.250  0.723  0.955
Cu  0.750  0.045  0.277
Cu  0.500  0.308  0.692
Cu  0.750  0.277  0.045
I  0.250  0.980  0.980
I  0.996  0.817  0.586
I  0.004  0.414  0.183
I  0.750  0.773  0.217
I  0.496  0.183  0.414
I  0.250  0.227  0.783
I  0.250  0.783  0.227
I  0.504  0.586  0.817
I  0.504  0.817  0.586
I  0.750  0.020  0.020
I  0.996  0.586  0.817
I  0.496  0.414  0.183
I  0.750  0.217  0.773
I  0.004  0.183  0.414
Ag  0.750  0.748  0.748
Ag  0.250  0.252  0.252

***

# 8
Material: Ba5SmSb4
Method: DFT, GGA-PBE
State: optimized geometry

Results
The value obtained for the raw formation energy is -8.82 eV per formula unit.

Lattice parameters (Å, degrees): 4.997 9.143 11.384 113.67 102.68 90.00
Positions (direct):
Ba  0.166  0.415  0.332
Ba  0.834  0.585  0.668
Ba  0.834  0.083  0.668
Ba  0.500  0.500  0.000
Ba  0.166  0.917  0.332
Sm  0.500  0.000  0.000
Sb  0.687  0.187  0.374
Sb  0.000  0.230  0.000
Sb  0.000  0.770  0.000
Sb  0.313  0.813  0.626

***

no.,magnetic moment (μB per formula unit)
1,0.00
2,0.00
3,2.82
4,0.00
5,0.00
6,3.06
7,0.00
8,1.02